Material: KMgTaAl
Method: DFT, PBE
State: optimized geometry

Cell and atoms, written as CIF:
```
data_KMgTaAl
_chemical_formula_sum 'K1 Mg1 Ta1 Al1'
_cell_length_a 2.9491
_cell_length_b 2.9491
_cell_length_c 10.6466
_cell_angle_alpha 90.00
_cell_angle_beta 90.22
_cell_angle_gamma 90.00
_space_group_name_H-M_alt 'P 1 m 1'
_space_group_IT_number 6
loop_
_space_group_symop_operation_xyz
'x,y,z'
'x,-y,z'
loop_
_atom_site_label
_atom_site_fract_x
_atom_site_fract_y
_atom_site_fract_z
K1 0.0000 0.0000 0.0000
Mg1 0.4909 0.5000 0.3298
Ta1 0.9941 0.0000 0.5420
Al1 0.4970 0.5000 0.7336
```

Properties
* energy of formation from the pure elements: 311.0 meV/atom

Material: BaH5BrO3
Method: DFT, PBE
State: optimized geometry

Cell and atoms, written as CIF:
```
data_BaH5BrO3
_chemical_formula_sum 'Ba2 H10 Br2 O6'
_cell_length_a 4.6308
_cell_length_b 4.6308
_cell_length_c 12.4975
_cell_angle_alpha 90.00
_cell_angle_beta 90.00
_cell_angle_gamma 90.00
_space_group_name_H-M_alt 'P 4/n m m'
_space_group_IT_number 129
loop_
_space_group_symop_operation_xyz
'x,y,z'
'-x,-y,-z'
'-y+1/2,x,z'
'y+1/2,-x,-z'
'-x+1/2,-y+1/2,z'
'x+1/2,y+1/2,-z'
'y,-x+1/2,z'
'-y,x+1/2,-z'
'x+1/2,-y,-z'
'-x+1/2,y,z'
'-y,-x,-z'
'y,x,z'
'-x,y+1/2,-z'
'x,-y+1/2,z'
'y+1/2,x+1/2,-z'
'-y+1/2,-x+1/2,z'
loop_
_atom_site_label
_atom_site_fract_x
_atom_site_fract_y
_atom_site_fract_z
Ba1 0.2500 0.2500 0.1845
H1 0.0709 0.7500 0.3595
H2 0.2500 0.2500 0.5111
Br1 0.2500 0.2500 0.9092
O1 0.2500 0.2500 0.5888
O2 0.2500 0.7500 0.3121
```

Material: KScPd3
Method: DFT, PBE
State: optimized geometry

Cell and atoms, written as CIF:
```
data_KScPd3
_chemical_formula_sum 'K1 Sc1 Pd3'
_cell_length_a 4.9785
_cell_length_b 4.9785
_cell_length_c 4.9785
_cell_angle_alpha 90.00
_cell_angle_beta 90.00
_cell_angle_gamma 90.00
_space_group_name_H-M_alt 'P m -3 m'
_space_group_IT_number 221
_space_group_name_Hall '-P 4 2 3'
loop_
_atom_site_label
_atom_site_fract_x
_atom_site_fract_y
_atom_site_fract_z
K1 0.0000 0.0000 0.0000
Sc1 0.5000 0.5000 0.5000
Pd1 0.0000 0.5000 0.5000
```

Properties
* energy of formation from the pure elements: 95.9 meV/atom

Material: CdSiSn3
Method: DFT, PBE
State: optimized geometry

Cell and atoms, written as CIF:
```
data_CdSiSn3
_chemical_formula_sum 'Cd1 Si1 Sn3'
_cell_length_a 5.4543
_cell_length_b 5.4543
_cell_length_c 5.4543
_cell_angle_alpha 90.00
_cell_angle_beta 90.00
_cell_angle_gamma 90.00
_space_group_name_H-M_alt 'P m -3 m'
_space_group_IT_number 221
_space_group_name_Hall '-P 4 2 3'
loop_
_atom_site_label
_atom_site_fract_x
_atom_site_fract_y
_atom_site_fract_z
Cd1 0.0000 0.0000 0.0000
Si1 0.5000 0.5000 0.5000
Sn1 0.0000 0.0000 0.5000
```

Material: TaPRh
Method: DFT, PBE
State: optimized geometry

Cell and atoms, written as CIF:
```
data_TaPRh
_chemical_formula_sum 'Ta2 P2 Rh2'
_cell_length_a 2.9659
_cell_length_b 2.9659
_cell_length_c 10.0020
_cell_angle_alpha 90.00
_cell_angle_beta 90.00
_cell_angle_gamma 90.00
_space_group_name_H-M_alt 'I 4 m m'
_space_group_IT_number 107
_space_group_name_Hall 'I 4 -2'
loop_
_atom_site_label
_atom_site_fract_x
_atom_site_fract_y
_atom_site_fract_z
Ta1 0.0000 0.0000 0.0000
P1 0.0000 0.0000 0.6552
Rh1 0.0000 0.0000 0.3051
```

Properties
* energy of formation from the pure elements: -411.7 meV/atom

Material: Tb4Dy5Er3
Method: DFT, PBE
State: optimized geometry

Cell and atoms, written as CIF:
```
data_Tb4Dy5Er3
_chemical_formula_sum 'Tb4 Dy5 Er3'
_cell_length_a 6.1159
_cell_length_b 7.0625
_cell_length_c 8.6404
_cell_angle_alpha 90.03
_cell_angle_beta 90.13
_cell_angle_gamma 90.14
_space_group_name_H-M_alt 'P -1'
_space_group_IT_number 2
loop_
_space_group_symop_operation_xyz
'x,y,z'
'-x,-y,-z'
loop_
_atom_site_label
_atom_site_fract_x
_atom_site_fract_y
_atom_site_fract_z
Tb1 0.1664 0.2493 0.1671
Tb2 0.3334 0.5003 0.8332
Dy1 0.0000 0.5000 0.5000
Dy2 0.3330 0.0002 0.8332
Dy3 0.4993 0.7505 0.5000
Er1 0.0000 0.0000 0.5000
Er2 0.1669 0.7503 0.1670
```

Properties
* energy of formation from the pure elements: 17.3 meV/atom

Material: Pu2Pa4Ti
Method: DFT, PBE
State: optimized geometry

Cell and atoms, written as CIF:
```
data_Pu2Pa4Ti
_chemical_formula_sum 'Pu6 Pa12 Ti3'
_cell_length_a 5.0351
_cell_length_b 5.0351
_cell_length_c 21.7681
_cell_angle_alpha 90.00
_cell_angle_beta 90.00
_cell_angle_gamma 120.00
_space_group_name_H-M_alt 'R -3 m'
_space_group_IT_number 166
_space_group_name_Hall '-R 3 2"'
loop_
_atom_site_label
_atom_site_fract_x
_atom_site_fract_y
_atom_site_fract_z
Pu1 0.0000 0.0000 0.2374
Pa1 0.0000 0.0000 0.0954
Pa2 0.0000 0.0000 0.3603
Ti1 0.0000 0.0000 0.5000
```

Properties
* energy of formation from the pure elements: 110.5 meV/atom

Material: BaLa3
Method: DFT, PBE
State: optimized geometry

Cell and atoms, written as CIF:
```
data_BaLa3
_chemical_formula_sum 'Ba3 La9'
_cell_length_a 12.4181
_cell_length_b 12.4181
_cell_length_c 3.7656
_cell_angle_alpha 90.00
_cell_angle_beta 90.00
_cell_angle_gamma 120.00
_space_group_name_H-M_alt 'R -3 m'
_space_group_IT_number 166
_space_group_name_Hall '-R 3 2"'
loop_
_atom_site_label
_atom_site_fract_x
_atom_site_fract_y
_atom_site_fract_z
Ba1 0.0000 0.0000 0.0000
La1 0.0000 0.5000 0.0000
```

Properties
* energy of formation from the pure elements: 229.6 meV/atom

Material: Na2SnGeB
Method: DFT, PBE
State: optimized geometry

Cell and atoms, written as CIF:
```
data_Na2SnGeB
_chemical_formula_sum 'Na2 Sn1 Ge1 B1'
_cell_length_a 6.0094
_cell_length_b 6.0094
_cell_length_c 4.0121
_cell_angle_alpha 90.00
_cell_angle_beta 90.00
_cell_angle_gamma 90.00
_space_group_name_H-M_alt 'P 4/m m m'
_space_group_IT_number 123
_space_group_name_Hall '-P 4 2'
loop_
_atom_site_label
_atom_site_fract_x
_atom_site_fract_y
_atom_site_fract_z
Na1 0.0000 0.5000 0.0000
Sn1 0.0000 0.0000 0.0000
Ge1 0.5000 0.5000 0.5000
B1 0.0000 0.0000 0.5000
```

Properties
* energy of formation from the pure elements: 924.7 meV/atom

Material: CaPaAu2
Method: DFT, PBE
State: optimized geometry

Cell and atoms, written as CIF:
```
data_CaPaAu2
_chemical_formula_sum 'Ca1 Pa1 Au2'
_cell_length_a 3.4943
_cell_length_b 3.4943
_cell_length_c 7.7971
_cell_angle_alpha 90.00
_cell_angle_beta 90.00
_cell_angle_gamma 90.00
_space_group_name_H-M_alt 'P 4/m m m'
_space_group_IT_number 123
_space_group_name_Hall '-P 4 2'
loop_
_atom_site_label
_atom_site_fract_x
_atom_site_fract_y
_atom_site_fract_z
Ca1 0.0000 0.0000 0.0000
Pa1 0.0000 0.0000 0.5000
Au1 0.5000 0.5000 0.2565
```

Properties
* energy of formation from the pure elements: -474.4 meV/atom

Material: K2Pu2AgSe6
Method: DFT, PBE
State: optimized geometry

Cell and atoms, written as CIF:
```
data_K2Pu2AgSe6
_chemical_formula_sum 'K4 Pu4 Ag2 Se12'
_cell_length_a 7.0422
_cell_length_b 12.3959
_cell_length_c 8.1557
_cell_angle_alpha 90.00
_cell_angle_beta 105.74
_cell_angle_gamma 90.00
_space_group_name_H-M_alt 'C 1 2/m 1'
_space_group_IT_number 12
loop_
_space_group_symop_operation_xyz
'x,y,z'
'-x,-y,-z'
'-x,y,-z'
'x,-y,z'
'x+1/2,y+1/2,z'
'-x+1/2,-y+1/2,-z'
'-x+1/2,y+1/2,-z'
'x+1/2,-y+1/2,z'
loop_
_atom_site_label
_atom_site_fract_x
_atom_site_fract_y
_atom_site_fract_z
K1 0.0000 0.1596 0.0000
Pu1 0.0000 0.3344 0.5000
Ag1 0.0000 0.0000 0.5000
Se1 0.2179 0.5000 0.6991
Se2 0.2361 0.1746 0.6998
```

Material: LiTbCoPb
Method: DFT, PBE
State: optimized geometry

Cell and atoms, written as CIF:
```
data_LiTbCoPb
_chemical_formula_sum 'Li4 Tb4 Co4 Pb4'
_cell_length_a 6.6685
_cell_length_b 6.6685
_cell_length_c 6.6685
_cell_angle_alpha 90.00
_cell_angle_beta 90.00
_cell_angle_gamma 90.00
_space_group_name_H-M_alt 'F -4 3 m'
_space_group_IT_number 216
_space_group_name_Hall 'F -4 2 3'
loop_
_atom_site_label
_atom_site_fract_x
_atom_site_fract_y
_atom_site_fract_z
Li1 0.0000 0.0000 0.0000
Tb1 0.2500 0.2500 0.2500
Co1 0.0000 0.0000 0.5000
Pb1 0.2500 0.2500 0.7500
```

Properties
* energy of formation from the pure elements: -197.9 meV/atom

no.,E (eV per atom),ρ (g cm⁻³)
1,-4.261,4.87
2,-4.971,3.35
3,-4.506,5.43
4,-2.755,5.08
5,-8.616,11.88
6,-4.584,8.68
7,-10.538,15.22
8,-3.947,5.49
9,-2.662,2.84
10,-4.987,11.60
11,-6.018,5.56
12,-4.537,9.68